Record 1
A geometry-optimized LiPu2U structure. Source: Alexandria, functional PBE.

Calculated values
- E_tot: -10.132 eV/atom
- Density: 12.88 g/cm3

```
LiPu2U
1.0
-2.5302 -1.1325 1.5679
-2.1217 -1.8314 -1.5123
4.0649 -9.7507 2.7515
U Pu Li
1 2 1
Direct
0.0000 0.0000 0.0000
0.2541 0.2541 0.2378
0.7459 0.7459 0.7622
0.5000 0.5000 0.5000
```

---

Record 2
A geometry-optimized CdAsSe3 structure. Source: Alexandria, functional PBE.

Calculated values
- Raw formation energy: 0.31 eV/atom
- Polymorph energy (0 for the lowest one): 0.563 eV per atom
- Density: 5.45 g/cm3

```
CdAsSe3
1.0
5.0567 0.0000 0.0000
0.0000 5.0567 0.0000
0.0000 0.0000 5.0567
As Se Cd
1 3 1
Direct
0.0000 0.0000 0.0000
0.5000 0.0000 0.0000
0.0000 0.5000 0.0000
0.0000 0.0000 0.5000
0.5000 0.5000 0.5000
```

---

Record 3
A geometry-optimized GdPaAu2 structure. Source: Alexandria, functional PBE.

Calculated values
- Polymorph energy (0 for the lowest one): 0.000 eV per atom
- Density: 13.71 g/cm3

```
GdPaAu2
1.0
3.4897 0.0000 0.0000
0.0000 3.4897 0.0000
0.0000 0.0000 7.7783
Au Pa Gd
2 1 1
Direct
0.0000 0.0000 0.2519
0.0000 0.0000 0.7481
0.5000 0.5000 0.0000
0.5000 0.5000 0.5000
```

---

Record 4
A geometry-optimized CrCuPb2 structure. Source: Alexandria, functional PBE.

Calculated values
- Polymorph energy (0 for the lowest one): 0.092 eV per atom
- Density: 9.96 g/cm3

```
CrCuPb2
1.0
6.1523 0.0147 -0.0442
3.3540 5.1577 0.0442
-4.3077 -3.4050 2.7755
Cr Cu Pb
1 1 2
Direct
0.5384 0.5384 0.0000
0.7253 0.2253 0.5000
0.2581 0.7581 0.5000
0.9781 0.9781 0.0000
```

---

Record 5
A geometry-optimized Pr7Nd4Sc structure. Source: Alexandria, functional PBE.

Calculated values
- Polymorph energy (0 for the lowest one): 0.000 eV per atom
- Density: 6.38 g/cm3

```
Pr7Nd4Sc
1.0
-1.4883 -7.1800 0.0736
3.7799 -6.3637 3.5223
-7.6950 -3.9429 6.8176
Sc Pr Nd
1 7 4
Direct
0.0000 0.0000 0.0000
0.9974 0.0029 0.6705
0.7415 0.5033 0.8380
0.7549 0.4982 0.4974
0.2585 0.4967 0.1620
0.0026 0.9971 0.3295
0.5000 0.0000 0.0000
0.2451 0.5018 0.5026
0.2433 0.5096 0.8353
0.7567 0.4904 0.1647
0.4905 0.0030 0.6720
0.5095 0.9970 0.3280
```

---

Record 6
A geometry-optimized LiTl2CrIr structure. Source: Alexandria, functional PBE.

Calculated values
- E_tot: -3.954 eV/atom
- Density: 11.26 g/cm3

```
LiTl2CrIr
1.0
4.6828 0.0000 0.0000
0.0000 4.4368 0.0000
0.0000 0.0000 4.6828
Tl Ir Li Cr
2 1 1 1
Direct
0.5000 0.0000 0.0000
0.0000 0.0000 0.5000
0.5000 0.5000 0.5000
0.0000 0.0000 0.0000
0.0000 0.5000 0.0000
```

---

Record 7
A geometry-optimized YMnFe2I structure. Source: Alexandria, functional PBE.

Calculated values
- Raw formation energy: 0.73 eV/atom
- Density: 6.41 g/cm3

```
YMnFe2I
1.0
-0.8008 -4.2266 1.0403
1.6625 -1.4373 -4.5596
4.1028 -0.3797 1.6156
Fe I Mn Y
2 1 1 1
Direct
0.5000 0.0000 0.0000
0.0000 0.0000 0.5000
0.0000 0.5000 0.0000
0.0000 0.0000 0.0000
0.5000 0.5000 0.5000
```

---

Record 8
A geometry-optimized LuTaNb structure. Source: Alexandria, functional PBE.

Calculated values
- E_tot: -8.671 eV/atom
- Density: 11.46 g/cm3

```
LuTaNb
1.0
-2.2547 -0.6885 -2.6007
1.8446 -2.8657 -0.8406
-2.7401 -1.0903 5.0332
Nb Ta Lu
1 1 1
Direct
0.6935 0.6935 0.3870
0.3058 0.3058 0.6116
0.0007 0.0007 0.0014
```

---

Record 9
A geometry-optimized CaAc6Tl5 structure. Source: Alexandria, functional PBE.

Calculated values
- Polymorph energy (0 for the lowest one): 0.093 eV per atom
- Density: 8.74 g/cm3

```
CaAc6Tl5
1.0
6.9019 0.1952 0.0000
2.3430 10.6479 0.0000
1.1715 5.3239 6.3064
Ac Tl Ca
6 5 1
Direct
0.2748 0.5365 0.3614
0.7252 0.1020 0.3614
0.2136 0.2921 0.0000
0.7252 0.4635 0.6386
0.7864 0.7079 0.0000
0.2748 0.8980 0.6386
0.5000 0.1264 0.7471
0.5000 0.5000 0.0000
0.0000 0.7218 0.5563
0.0000 0.2782 0.4437
0.5000 0.8736 0.2529
0.0000 0.0000 0.0000
```

---

Record 10
A geometry-optimized Cd12CuAg6 structure. Source: Alexandria, functional PBE.

Calculated values
- E_tot: -1.671 eV/atom
- Density: 8.48 g/cm3

```
Cd12CuAg6
1.0
7.3703 -0.2230 0.5602
0.5021 7.3565 0.5602
-0.2461 -0.2230 7.3874
Ag Cd Cu
6 12 1
Direct
0.1649 0.6390 0.0684
0.9316 0.8351 0.3610
0.3610 0.9316 0.8351
0.6390 0.0684 0.1649
0.0684 0.1649 0.6390
0.8351 0.3610 0.9316
0.2011 0.5240 0.4462
0.7597 0.7205 0.0424
0.4462 0.2011 0.5240
0.9576 0.2403 0.2795
0.7205 0.0424 0.7597
0.5240 0.4462 0.2011
0.2403 0.2795 0.9576
0.4760 0.5538 0.7989
0.5538 0.7989 0.4760
0.2795 0.9576 0.2403
0.0424 0.7597 0.7205
0.7989 0.4760 0.5538
0.0000 0.0000 0.0000
```

---

Record 11
A geometry-optimized ErCo2SiGe2 structure. Source: Alexandria, functional PBE.

Calculated values
- Raw formation energy: -0.24 eV/atom
- Density: 7.82 g/cm3

```
ErCo2SiGe2
1.0
-4.2044 -0.4396 -0.4188
0.5216 -1.1153 -4.0657
0.3945 -5.1732 1.4697
Co Si Ge Er
2 1 2 1
Direct
0.0000 0.5000 0.0000
0.5000 0.0000 0.0000
0.0000 0.0000 0.0000
0.5000 0.5000 0.2629
0.5000 0.5000 0.7371
0.0000 0.0000 0.5000
```

---

Record 12
A geometry-optimized UGa2Ni6 structure. Source: Alexandria, functional PBE.

Calculated values
- E_tot: -5.884 eV/atom
- Density: 10.15 g/cm3

```
UGa2Ni6
1.0
2.7135 0.0000 0.0000
0.0000 6.9522 0.0000
-1.3567 -3.4761 6.3288
Ni Ga U
6 2 1
Direct
0.3244 0.5052 0.6489
0.6756 0.8563 0.3511
0.5000 0.1667 0.0000
0.5000 0.8333 0.0000
0.6756 0.4948 0.3511
0.3244 0.1437 0.6489
0.1514 0.1514 0.3029
0.8486 0.8486 0.6971
0.0000 0.5000 0.0000
```

---

- What is the density in the second record?
  5.45 g/cm3

---

- Among the records above, which one has the lowest density?
  CdAsSe3

---

- Among the records above, which one has the lowest density?
  CdAsSe3